The following is a PBE calculation of a relaxed structure of Li2SbOs, from the Alexandria database.

abc: 3.003 3.003 9.185
angles: 90.00 90.00 116.66
Fractional coordinates of all 4 atoms:
Li1 0.000 0.000 0.993
Li2 0.500 0.500 0.273
Os1 0.000 0.000 0.501
Sb1 0.500 0.500 0.733

Energy in eV for the cell shown: -17.6
Formation energy (no corrections) in kJ/mol of atoms: 38.5


The following is a PBE calculation of a relaxed structure of LiSbOs2, from the Alexandria database.

abc: 3.882 2.850 6.069
angles: 76.71 90.00 90.00
Fractional coordinates of all 4 atoms:
Li1 0.500 0.683 0.758
Os1 0.000 0.059 0.013
Os2 0.500 0.465 0.194
Sb1 0.000 0.292 0.534

Energy in eV for the cell shown: -27.2
Formation energy (no corrections) in kJ/mol of atoms: 31.3


The following is a PBE calculation of a relaxed structure of Li2SbOs, from the Alexandria database.

abc: 5.078 5.078 5.078
angles: 135.50 135.50 64.76
Fractional coordinates of all 4 atoms:
Li1 0.000 0.000 0.000
Li2 0.500 0.500 0.000
Os1 0.250 0.750 0.500
Sb1 0.750 0.250 0.500

Energy in eV for the cell shown: -18.7
Formation energy (no corrections) in kJ/mol of atoms: 11.4